# Co4TcMo (PBE, relaxed)
# E_form (eV per atom): 0.05
# Calculated total energy (eV per atom): -8.22
# DOS at the Fermi energy (states/eV per atom): 1.519
data_Co4TcMo
_chemical_formula_sum 'Co16 Tc4 Mo4'
_symmetry_space_group_name_H-M 'F -4 3 m'
_symmetry_Int_Tables_number 216
_symmetry_space_group_name_Hall 'F -4 2 3'
_cell_length_a 6.589
_cell_length_b 6.589
_cell_length_c 6.589
_cell_angle_alpha 90.00
_cell_angle_beta 90.00
_cell_angle_gamma 90.00
loop_
_atom_site_label
_atom_site_type_symbol
_atom_site_fract_x
_atom_site_fract_y
_atom_site_fract_z
Co1 Co 0.125 0.125 0.125
Tc1 Tc 0.250 0.250 0.750
Mo1 Mo 0.000 0.000 0.500